Entry 1:
A plane-wave DFT calculation with PBE was carried out for Na2BeTcBr after structural relaxation.

Computed properties:
- E_form (uncorrected) (eV per atom) = 1.11
- density of states at the Fermi level (states/eV/f.u.) = 6.35
- final energy (eV per atom) = -2.57

Unit cell a=5.7883 b=4.6364 c=5.7883 alpha=90.00 beta=90.00 gamma=90.00
With the nearest neighbours (Å) after each atom.
Sites, in units of the cell vectors:
Na: 0.0000 0.0000 0.5000  2 Tc 2.89
Na: 0.5000 0.0000 0.0000  2 Tc 2.89
Tc: 0.0000 0.0000 0.0000  2 Br 2.32
Br: 0.0000 0.5000 0.0000  2 Tc 2.32
Be: 0.5000 0.5000 0.5000  8 Na 3.71, 4 Br 4.09

***

Entry 2:
A plane-wave DFT calculation with PBE was carried out for Na3BeTl3Br8 after structural relaxation.

Computed properties:
- E_form (uncorrected) (eV per atom) = -1.07
- density of states at the Fermi level (states/eV/f.u.) = 0.00
- final energy (eV per atom) = -2.95

Unit cell a=8.5906 b=8.5958 c=9.1669 alpha=117.99 beta=90.00 gamma=119.98
With the nearest neighbours (Å) after each atom.
Sites, in units of the cell vectors:
Na: 0.5000 0.0000 0.5000  6 Br 2.98-3.05
Na: 0.5000 0.5000 0.5000  6 Br 2.97-3.06
Na: 0.0000 0.5000 0.5000  6 Br 2.97-3.06
Be: 0.0000 0.0000 0.5000  6 Br 2.53-2.54
Tl: 0.0000 0.0000 0.0000  6 Br 3.32-3.35
Tl: 0.0000 0.5000 0.0000  6 Br 3.32-3.34
Tl: 0.5000 0.5000 0.0000  6 Br 3.32-3.34
Br: 0.2621 0.5242 0.2870  3 Na 2.97-2.98, 3 Tl 3.32
Br: 0.7379 0.4758 0.7130  3 Na 2.97-2.98, 3 Tl 3.32
Br: 0.7973 0.5947 0.3136  1 Be 2.54
Br: 0.2027 0.4053 0.6864  1 Be 2.54
Br: 0.7976 0.0159 0.3140  1 Be 2.53
Br: 0.2024 0.9841 0.6860  1 Be 2.53
Br: 0.2184 0.0159 0.3140  1 Be 2.53
Br: 0.7816 0.9841 0.6860  1 Be 2.53

***

Entry 3:
A plane-wave DFT calculation with PBE was carried out for NaBe2TlBr6 after structural relaxation.

Computed properties:
- E_form (uncorrected) (eV per atom) = -1.05
- density of states at the Fermi level (states/eV/f.u.) = 0.00
- final energy (eV per atom) = -3.16

Unit cell a=9.2315 b=9.2315 c=8.6303 alpha=102.49 beta=102.49 gamma=93.85
With the nearest neighbours (Å) after each atom.
Sites, in units of the cell vectors:
Na: 0.5877 0.4123 0.2500  6 Br 3.02-3.25
Na: 0.4123 0.5877 0.7500  6 Br 3.02-3.25
Be: 0.4086 0.0802 0.7597  3 Br 2.07-2.11
Be: 0.9198 0.5914 0.7403  3 Br 2.07-2.11
Be: 0.5914 0.9198 0.2404  3 Br 2.07-2.11
Be: 0.0802 0.4086 0.2596  3 Br 2.07-2.11
Tl: 0.1465 0.8535 0.2500  6 Br 3.35-3.55
Tl: 0.8535 0.1465 0.7500  6 Br 3.35-3.55
Br: 0.9064 0.5417 0.2456  1 Be 2.08
Br: 0.4583 0.0936 0.2544  1 Be 2.08
Br: 0.0936 0.4583 0.7544  1 Be 2.08
Br: 0.5417 0.9064 0.7456  1 Be 2.08
Br: 0.0437 0.1861 0.1367  1 Be 2.07
Br: 0.8139 0.9563 0.3633  1 Be 2.07
Br: 0.9563 0.8139 0.8633  1 Be 2.07
Br: 0.1861 0.0437 0.6367  1 Be 2.07
Br: 0.2974 0.5118 0.3827  1 Be 2.11
Br: 0.4882 0.7026 0.1173  1 Be 2.11
Br: 0.7026 0.4882 0.6173  1 Be 2.11
Br: 0.5118 0.2974 0.8827  1 Be 2.11

***

Entry 4:
A plane-wave DFT calculation with PBE was carried out for NaBeTlBr4 after structural relaxation.

Computed properties:
- E_form (uncorrected) (eV per atom) = -1.13
- density of states at the Fermi level (states/eV/f.u.) = 0.00
- final energy (eV per atom) = -3.15

Unit cell a=6.9448 b=7.2833 c=8.8719 alpha=90.00 beta=107.92 gamma=90.00
With the nearest neighbours (Å) after each atom.
Sites, in units of the cell vectors:
Na: 0.7671 0.7500 0.4447  6 Br 2.96-3.17
Na: 0.2329 0.2500 0.5553  6 Br 2.96-3.17
Be: 0.2188 0.7500 0.3145  4 Br 2.18-2.21
Be: 0.7812 0.2500 0.6855  4 Br 2.18-2.21
Tl: 0.7417 0.7500 0.9308  6 Br 3.38-3.50
Tl: 0.2583 0.2500 0.0692  6 Br 3.38-3.50
Br: 0.9858 0.4904 0.7297  1 Be 2.21
Br: 0.0142 0.9904 0.2703  1 Be 2.21
Br: 0.0142 0.5096 0.2703  1 Be 2.21
Br: 0.9858 0.0096 0.7297  1 Be 2.21
Br: 0.4001 0.7500 0.1503  1 Be 2.20
Br: 0.5999 0.2500 0.8497  1 Be 2.20
Br: 0.4105 0.7500 0.5612  1 Be 2.18
Br: 0.5895 0.2500 0.4388  1 Be 2.18

***

Entry 5:
A plane-wave DFT calculation with PBE was carried out for NaBeW2Br after structural relaxation.

Computed properties:
- E_form (uncorrected) (eV per atom) = 1.47
- density of states at the Fermi level (states/eV/f.u.) = 3.78
- final energy (eV per atom) = -5.05

Unit cell a=4.1945 b=6.7500 c=4.1945 alpha=90.00 beta=90.00 gamma=90.00
With the nearest neighbours (Å) after each atom.
Sites, in units of the cell vectors:
Na: 0.5000 0.5000 0.5000  4 Br 2.97
Br: 0.0000 0.5000 0.0000  4 Na 2.97
W: 0.0000 0.0000 0.5000  2 Be 2.10
W: 0.5000 0.0000 0.0000  2 Be 2.10
Be: 0.0000 0.0000 0.0000  4 W 2.10

***

Entry 6:
A plane-wave DFT calculation with PBE was carried out for Na2YBeBr after structural relaxation.

Computed properties:
- E_form (uncorrected) (eV per atom) = 0.15
- density of states at the Fermi level (states/eV/f.u.) = 2.44
- final energy (eV per atom) = -2.75

Unit cell a=5.2975 b=5.2223 c=5.2975 alpha=90.00 beta=90.00 gamma=90.00
With the nearest neighbours (Å) after each atom.
Sites, in units of the cell vectors:
Y: 0.0000 0.5000 0.0000  2 Be 2.61
Na: 0.0000 0.0000 0.5000  2 Be 2.65
Na: 0.5000 0.0000 0.0000  2 Be 2.65
Br: 0.5000 0.5000 0.5000  8 Na 3.72, 4 Y 3.75
Be: 0.0000 0.0000 0.0000  2 Y 2.61, 4 Na 2.65

***

Entry 7:
A plane-wave DFT calculation with PBE was carried out for Be2NbBr after structural relaxation.

Computed properties:
- E_form (uncorrected) (eV per atom) = 0.79
- relative energy among the computed polymorphs (meV/atom) = 0
- density of states at the Fermi level (states/eV/f.u.) = 2.89
- final energy (eV per atom) = -4.01

Unit cell a=6.7319 b=6.7319 c=5.4467 alpha=51.83 beta=51.83 gamma=90.00
With the nearest neighbours (Å) after each atom.
Sites, in units of the cell vectors:
Be: 0.6067 0.1250 0.2500  2 Br 2.39, 2 Nb 2.56, 2 Be 2.66
Be: 0.1433 0.6250 0.2500  2 Br 2.39, 2 Nb 2.56, 2 Be 2.66
Be: 0.3750 0.3933 0.7500  2 Br 2.39, 2 Nb 2.56, 2 Be 2.66
Be: 0.8750 0.8567 0.7500  2 Br 2.39, 2 Nb 2.56, 2 Be 2.66
Nb: 0.0000 0.0000 0.0000  4 Be 2.56, 2 Br 2.65
Nb: 0.7500 0.2500 0.5000  4 Be 2.56, 2 Br 2.65
Br: 0.5000 0.5000 0.0000  4 Be 2.39, 2 Nb 2.65
Br: 0.2500 0.7500 0.5000  4 Be 2.39, 2 Nb 2.65

***

Entry 8:
A plane-wave DFT calculation with PBE was carried out for BeNbBr2 after structural relaxation.

Computed properties:
- E_form (uncorrected) (eV per atom) = 0.25
- relative energy among the computed polymorphs (meV/atom) = 0
- density of states at the Fermi level (states/eV/f.u.) = 4.20
- final energy (eV per atom) = -4.04

Unit cell a=8.3969 b=8.3969 c=8.3969 alpha=22.45 beta=22.45 gamma=22.45
With the nearest neighbours (Å) after each atom.
Sites, in units of the cell vectors:
Be: 0.5000 0.5000 0.5000  6 Br 2.36
Nb: 0.0000 0.0000 0.0000  2 Br 2.67
Br: 0.8913 0.8913 0.8913  3 Be 2.36
Br: 0.1087 0.1087 0.1087  3 Be 2.36